# 1
## CeHo4Tm6 (GGA-PBE)

Data for a geometry-optimized CeHo4Tm6 structure.

Values from the calculation:
Formation energy from the elements ... 0.50 eV per atom
Polymorph energy (0 for the lowest one) ... 3.97 eV per formula unit

Unit cell a=8.372 b=8.372 c=8.372 alpha=125.73 beta=125.73 gamma=80.34
Positions (direct):
Ce1 0.000 0.000 0.000
Ho1 0.258 0.258 0.667
Ho2 0.409 0.742 0.000
Ho3 0.591 0.591 0.333
Ho4 0.742 0.409 0.000
Tm1 0.000 0.500 0.500
Tm2 0.067 0.566 0.000
Tm3 0.434 0.434 0.501
Tm4 0.500 0.000 0.500
Tm5 0.566 0.067 0.000
Tm6 0.933 0.933 0.499

=====

# 2
## Ce2Ho8Tm (GGA-PBE)

Data for a geometry-optimized Ce2Ho8Tm structure.

Values from the calculation:
Formation energy from the elements ... 0.21 eV per atom

Unit cell a=9.872 b=9.872 c=5.538 alpha=92.40 beta=92.40 gamma=41.25
Positions (direct):
Ce1 0.215 0.215 0.257
Ce2 0.785 0.785 0.743
Ho1 0.047 0.047 0.237
Ho2 0.102 0.637 0.264
Ho3 0.315 0.315 0.767
Ho4 0.363 0.898 0.736
Ho5 0.637 0.102 0.264
Ho6 0.685 0.685 0.233
Ho7 0.898 0.363 0.736
Ho8 0.953 0.953 0.763
Tm1 0.500 0.500 0.000

=====

# 3
## CeHo4Tm3 (GGA-PBE)

Data for a geometry-optimized CeHo4Tm3 structure.

Values from the calculation:
Formation energy from the elements ... 0.05 eV per atom
Polymorph energy (0 for the lowest one) ... 0.00 eV per formula unit

Unit cell a=4.977 b=9.911 c=9.932 alpha=90.00 beta=90.00 gamma=90.00
Positions (direct):
Ce1 0.250 0.250 0.124
Ce2 0.750 0.750 0.876
Ho1 0.250 0.001 0.374
Ho2 0.250 0.250 0.626
Ho3 0.250 0.499 0.374
Ho4 0.250 0.750 0.626
Ho5 0.750 0.250 0.374
Ho6 0.750 0.501 0.626
Ho7 0.750 0.750 0.374
Ho8 0.750 0.999 0.626
Tm1 0.250 0.501 0.877
Tm2 0.250 0.750 0.123
Tm3 0.250 0.999 0.877
Tm4 0.750 0.001 0.123
Tm5 0.750 0.250 0.877
Tm6 0.750 0.499 0.123

=====

# 4
## CeHo12Tm6 (GGA-PBE)

Data for a geometry-optimized CeHo12Tm6 structure.

Values from the calculation:
Formation energy from the elements ... 0.21 eV per atom

Unit cell a=8.608 b=8.608 c=8.608 alpha=99.29 beta=99.29 gamma=99.29
Positions (direct):
Ce1 0.000 0.000 0.000
Ho1 0.079 0.351 0.351
Ho2 0.243 0.500 0.757
Ho3 0.243 0.757 0.500
Ho4 0.351 0.079 0.351
Ho5 0.351 0.351 0.079
Ho6 0.500 0.243 0.757
Ho7 0.500 0.757 0.243
Ho8 0.649 0.649 0.921
Ho9 0.649 0.921 0.649
Ho10 0.757 0.243 0.500
Ho11 0.757 0.500 0.243
Ho12 0.921 0.649 0.649
Tm1 0.105 0.105 0.663
Tm2 0.105 0.663 0.105
Tm3 0.337 0.895 0.895
Tm4 0.663 0.105 0.105
Tm5 0.895 0.337 0.895
Tm6 0.895 0.895 0.337

=====

# 5
## CeHoTm2 (GGA-PBE)

Data for a geometry-optimized CeHoTm2 structure.

Values from the calculation:
Formation energy from the elements ... 0.12 eV per atom
Polymorph energy (0 for the lowest one) ... 0.27 eV per formula unit

Unit cell a=11.384 b=11.384 c=6.265 alpha=94.31 beta=94.31 gamma=17.42
Positions (direct):
Ce1 0.249 0.249 0.237
Ce2 0.751 0.751 0.763
Ho1 0.002 0.002 0.245
Ho2 0.998 0.998 0.755
Tm1 0.132 0.132 0.542
Tm2 0.382 0.382 0.969
Tm3 0.618 0.618 0.031
Tm4 0.868 0.868 0.458

=====

# 6
## CeHoTm (GGA-PBE)

Data for a geometry-optimized CeHoTm structure.

Values from the calculation:
Formation energy from the elements ... 0.06 eV per atom
Polymorph energy (0 for the lowest one) ... 0.00 eV per formula unit

Unit cell a=3.487 b=3.487 c=8.553 alpha=90.00 beta=90.00 gamma=120.00
Positions (direct):
Ce1 0.000 0.000 0.000
Ho1 0.333 0.667 0.667
Tm1 0.667 0.333 0.330

=====

# 7
## CeHo6Tm (GGA-PBE)

Data for a geometry-optimized CeHo6Tm structure.

Values from the calculation:
Formation energy from the elements ... 0.23 eV per atom
Polymorph energy (0 for the lowest one) ... 1.44 eV per formula unit

Unit cell a=6.454 b=6.718 c=6.825 alpha=119.07 beta=102.11 gamma=90.56
Positions (direct):
Ce1 0.000 0.000 0.000
Ho1 0.230 0.904 0.480
Ho2 0.250 0.448 0.001
Ho3 0.267 0.429 0.522
Ho4 0.733 0.571 0.478
Ho5 0.750 0.552 0.999
Ho6 0.770 0.096 0.520
Tm1 0.500 0.000 0.000

=====

# 8
## CeHo2Tm4 (GGA-PBE)

Data for a geometry-optimized CeHo2Tm4 structure.

Values from the calculation:
Formation energy from the elements ... 0.21 eV per atom
Polymorph energy (0 for the lowest one) ... 1.28 eV per formula unit

Unit cell a=11.296 b=11.296 c=5.549 alpha=90.00 beta=90.00 gamma=161.76
Positions (direct):
Ce1 0.000 0.000 0.000
Ho1 0.430 0.570 0.500
Ho2 0.570 0.430 0.500
Tm1 0.192 0.808 0.500
Tm2 0.329 0.671 0.000
Tm3 0.671 0.329 0.000
Tm4 0.808 0.192 0.500

=====

# 9
## CeHo2Tm (GGA-PBE)

Data for a geometry-optimized CeHo2Tm structure.

Values from the calculation:
Formation energy from the elements ... 0.06 eV per atom
Polymorph energy (0 for the lowest one) ... 0.03 eV per formula unit

Unit cell a=3.499 b=3.499 c=9.936 alpha=90.00 beta=90.00 gamma=90.00
Positions (direct):
Ce1 0.000 0.000 0.000
Ho1 0.500 0.500 0.247
Ho2 0.500 0.500 0.753
Tm1 0.000 0.000 0.500

=====

# 10
## CeHo4Tm7 (GGA-PBE)

Data for a geometry-optimized CeHo4Tm7 structure.

Values from the calculation:
Formation energy from the elements ... 0.29 eV per atom
Polymorph energy (0 for the lowest one) ... 1.73 eV per formula unit

Unit cell a=6.602 b=6.602 c=12.535 alpha=114.59 beta=114.59 gamma=51.59
Positions (direct):
Ce1 0.000 0.000 0.000
Ho1 0.252 0.252 0.687
Ho2 0.369 0.369 0.225
Ho3 0.631 0.631 0.775
Ho4 0.748 0.748 0.313
Tm1 0.059 0.059 0.329
Tm2 0.207 0.207 0.924
Tm3 0.364 0.364 0.496
Tm4 0.500 0.500 0.000
Tm5 0.636 0.636 0.504
Tm6 0.793 0.793 0.076
Tm7 0.941 0.941 0.671

=====

# 11
## CeHo2Tm4 (GGA-PBE)

Data for a geometry-optimized CeHo2Tm4 structure.

Values from the calculation:
Formation energy from the elements ... 0.03 eV per atom
Polymorph energy (0 for the lowest one) ... 0.00 eV per formula unit

Unit cell a=19.808 b=19.808 c=19.808 alpha=10.24 beta=10.24 gamma=10.24
Positions (direct):
Ce1 0.000 0.000 0.000
Ho1 0.096 0.096 0.096
Ho2 0.191 0.191 0.191
Tm1 0.285 0.285 0.285
Tm2 0.382 0.382 0.382
Tm3 0.810 0.810 0.810
Tm4 0.905 0.905 0.905

=====

# 12
## CeHo3Tm (GGA-PBE)

Data for a geometry-optimized CeHo3Tm structure.

Values from the calculation:
Formation energy from the elements ... 0.05 eV per atom
Polymorph energy (0 for the lowest one) ... 0.00 eV per formula unit

Unit cell a=9.950 b=3.505 c=17.571 alpha=90.00 beta=90.00 gamma=90.00
Positions (direct):
Ce1 0.127 0.250 0.151
Ce2 0.373 0.750 0.651
Ce3 0.627 0.250 0.349
Ce4 0.873 0.750 0.849
Ho1 0.122 0.250 0.950
Ho2 0.124 0.250 0.349
Ho3 0.124 0.250 0.750
Ho4 0.376 0.750 0.250
Ho5 0.376 0.750 0.849
Ho6 0.378 0.750 0.450
Ho7 0.622 0.250 0.550
Ho8 0.624 0.250 0.151
Ho9 0.624 0.250 0.750
Ho10 0.876 0.750 0.250
Ho11 0.876 0.750 0.651
Ho12 0.878 0.750 0.050
Tm1 0.126 0.250 0.549
Tm2 0.374 0.750 0.049
Tm3 0.626 0.250 0.951
Tm4 0.874 0.750 0.451